Compound: LuAsPd
Source: the Open Quantum Materials Database
Functional: PBE
Structure: optimized geometry

Output
Final energy = -5.598 eV per atom
Calculated density = 9.98 g cm⁻³
Total magnetic moment = 0.0 Bohr magnetons per cell

Cell: 7.4738 7.4738 3.6759 Å, 90.00 90.00 120.00°
Positions (direct):
As  0.6667  0.3333  0.0000
As  0.3333  0.6667  0.0000
As  0.0000  0.0000  0.5000
Lu  0.2821  0.0000  0.0000
Lu  0.0000  0.2821  0.0000
Lu  0.7179  0.7179  0.0000
Pd  0.6405  0.0000  0.5000
Pd  0.3595  0.3595  0.5000
Pd  0.0000  0.6405  0.5000

---

Compound: PrSbAsO
Source: the Open Quantum Materials Database
Functional: PBE
Structure: optimized geometry

Output
Final energy = -5.234 eV per atom
Calculated density = 6.62 g cm⁻³
Total magnetic moment = 0.0 Bohr magnetons per cell
Energy above the most stable polymorph in this dataset = 746.8 meV/atom

Cell: 4.8236 4.8236 7.6287 Å, 90.00 90.00 90.00°
Positions (direct):
As  0.0000  0.5000  0.2858
As  0.5000  0.0000  0.7142
O  0.0000  0.0000  0.0000
O  0.5000  0.5000  0.0000
Pr  0.0000  0.0000  0.5000
Pr  0.5000  0.5000  0.5000
Sb  0.5000  0.0000  0.0664
Sb  0.0000  0.5000  0.9336